Compound: BeCd2Sn2
Source: Alexandria via LeMat-Bulk
Functional: PBE-GGA
Structure: optimized geometry

Magnetic moment in μB/f.u.: 0.00
ΔE_f in meV/atom: 372
E above lowest polymorph in eV/atom: 0.0662

Geometry as CIF:
```
data_BeCd2Sn2
_cell_length_a 6.6209
_cell_length_b 6.6209
_cell_length_c 5.3595
_cell_angle_alpha 90.00
_cell_angle_beta 90.00
_cell_angle_gamma 90.00
_space_group_name_H-M_alt 'P 4/m b m'
_space_group_IT_number 127
_space_group_name_Hall '-P 4 2ab'
loop_
_atom_site_label
_atom_site_fract_x
_atom_site_fract_y
_atom_site_fract_z
_atom_site_occupancy
Be1 0.0000 0.0000 0.0000 1
Cd1 0.1617 0.3383 0.0000 1
Sn1 0.1732 0.6732 0.5000 1
```

Compound: Be2Cd2Sn
Source: Alexandria via LeMat-Bulk
Functional: PBE-GGA
Structure: optimized geometry

Magnetic moment in μB/f.u.: 0.00
ΔE_f in meV/atom: 467

Geometry as CIF:
```
data_Be2Cd2Sn
_cell_length_a 7.8376
_cell_length_b 7.8376
_cell_length_c 2.9466
_cell_angle_alpha 90.00
_cell_angle_beta 90.00
_cell_angle_gamma 90.00
_space_group_name_H-M_alt 'P 4/m b m'
_space_group_IT_number 127
_space_group_name_Hall '-P 4 2ab'
loop_
_atom_site_label
_atom_site_fract_x
_atom_site_fract_y
_atom_site_fract_z
_atom_site_occupancy
Be1 0.1065 0.3935 0.0000 1
Cd1 0.1803 0.6803 0.5000 1
Sn1 0.0000 0.0000 0.0000 1
```

Compound: BeCdSn2
Source: Alexandria via LeMat-Bulk
Functional: PBE-GGA
Structure: optimized geometry

Magnetic moment in μB/f.u.: 0.00
ΔE_f in meV/atom: 221
E above lowest polymorph in eV/atom: 0.0000

Geometry as CIF:
```
data_BeCdSn2
_cell_length_a 8.7363
_cell_length_b 8.7363
_cell_length_c 4.8866
_cell_angle_alpha 90.00
_cell_angle_beta 90.00
_cell_angle_gamma 90.00
_space_group_name_H-M_alt 'I -4 2 d'
_space_group_IT_number 122
_space_group_name_Hall 'I -4 2bw'
loop_
_atom_site_label
_atom_site_fract_x
_atom_site_fract_y
_atom_site_fract_z
_atom_site_occupancy
Be1 0.0000 0.0000 0.0000 1
Cd1 0.0000 0.0000 0.5000 1
Sn1 0.1436 0.2500 0.1250 1
```

Compound: Be2CdSn2
Source: Alexandria via LeMat-Bulk
Functional: PBE-GGA
Structure: optimized geometry

Magnetic moment in μB/f.u.: 0.00
ΔE_f in meV/atom: 421

Geometry as CIF:
```
data_Be2CdSn2
_cell_length_a 4.2126
_cell_length_b 4.2126
_cell_length_c 11.3466
_cell_angle_alpha 90.00
_cell_angle_beta 90.00
_cell_angle_gamma 90.00
_space_group_name_H-M_alt 'I 4/m m m'
_space_group_IT_number 139
_space_group_name_Hall '-I 4 2'
loop_
_atom_site_label
_atom_site_fract_x
_atom_site_fract_y
_atom_site_fract_z
_atom_site_occupancy
Be1 0.0000 0.5000 0.2500 1
Cd1 0.0000 0.0000 0.0000 1
Sn1 0.0000 0.0000 0.3737 1
```

Compound: BeCd2Sn2
Source: Alexandria via LeMat-Bulk
Functional: PBE-GGA
Structure: optimized geometry

Magnetic moment in μB/f.u.: 0.00
ΔE_f in meV/atom: 306
E above lowest polymorph in eV/atom: 0.0000

Geometry as CIF:
```
data_BeCd2Sn2
_cell_length_a 6.6618
_cell_length_b 6.6618
_cell_length_c 5.4076
_cell_angle_alpha 90.00
_cell_angle_beta 90.00
_cell_angle_gamma 90.00
_space_group_name_H-M_alt 'P 4/m b m'
_space_group_IT_number 127
_space_group_name_Hall '-P 4 2ab'
loop_
_atom_site_label
_atom_site_fract_x
_atom_site_fract_y
_atom_site_fract_z
_atom_site_occupancy
Be1 0.0000 0.0000 0.0000 1
Cd1 0.1691 0.3309 0.5000 1
Sn1 0.1582 0.6582 0.0000 1
```

Compound: BeCdSn2
Source: Alexandria via LeMat-Bulk
Functional: PBE-GGA
Structure: optimized geometry

Magnetic moment in μB/f.u.: 0.00
ΔE_f in meV/atom: 472
E above lowest polymorph in eV/atom: 0.2512

Geometry as CIF:
```
data_BeCdSn2
_cell_length_a 7.0971
_cell_length_b 7.0971
_cell_length_c 7.0971
_cell_angle_alpha 90.00
_cell_angle_beta 90.00
_cell_angle_gamma 90.00
_space_group_name_H-M_alt 'F m -3 m'
_space_group_IT_number 225
_space_group_name_Hall '-F 4 2 3'
loop_
_atom_site_label
_atom_site_fract_x
_atom_site_fract_y
_atom_site_fract_z
_atom_site_occupancy
Be1 0.0000 0.0000 0.0000 1
Cd1 0.0000 0.0000 0.5000 1
Sn1 0.2500 0.2500 0.2500 1
```

Compound: SrBe4Cd
Source: Alexandria via LeMat-Bulk
Functional: PBE-GGA
Structure: optimized geometry

Magnetic moment in μB/f.u.: 0.00
ΔE_f in meV/atom: 468

Geometry as CIF:
```
data_SrBe4Cd
_cell_length_a 7.1608
_cell_length_b 7.1608
_cell_length_c 7.1608
_cell_angle_alpha 90.00
_cell_angle_beta 90.00
_cell_angle_gamma 90.00
_space_group_name_H-M_alt 'F -4 3 m'
_space_group_IT_number 216
_space_group_name_Hall 'F -4 2 3'
loop_
_atom_site_label
_atom_site_fract_x
_atom_site_fract_y
_atom_site_fract_z
_atom_site_occupancy
Sr1 0.0000 0.0000 0.0000 1
Be1 0.1260 0.1260 0.6260 1
Cd1 0.2500 0.2500 0.2500 1
```

Compound: Sr2BeCd2
Source: Alexandria via LeMat-Bulk
Functional: PBE-GGA
Structure: optimized geometry

Magnetic moment in μB/f.u.: 0.00
ΔE_f in meV/atom: 131

Geometry as CIF:
```
data_Sr2BeCd2
_cell_length_a 7.4080
_cell_length_b 7.4080
_cell_length_c 5.3001
_cell_angle_alpha 90.00
_cell_angle_beta 90.00
_cell_angle_gamma 90.00
_space_group_name_H-M_alt 'P 4/m b m'
_space_group_IT_number 127
_space_group_name_Hall '-P 4 2ab'
loop_
_atom_site_label
_atom_site_fract_x
_atom_site_fract_y
_atom_site_fract_z
_atom_site_occupancy
Sr1 0.1789 0.3211 0.0000 1
Be1 0.0000 0.0000 0.5000 1
Cd1 0.1411 0.6411 0.5000 1
```

Compound: SrBe2Cd
Source: Alexandria via LeMat-Bulk
Functional: PBE-GGA
Structure: optimized geometry

Magnetic moment in μB/f.u.: 0.00
ΔE_f in meV/atom: 278

Geometry as CIF:
```
data_SrBe2Cd
_cell_length_a 4.8864
_cell_length_b 8.3182
_cell_length_c 4.1136
_cell_angle_alpha 90.00
_cell_angle_beta 90.43
_cell_angle_gamma 90.00
_space_group_name_H-M_alt 'C 1 2 1'
_space_group_IT_number 5
_space_group_name_Hall 'C 2y'
loop_
_atom_site_label
_atom_site_fract_x
_atom_site_fract_y
_atom_site_fract_z
_atom_site_occupancy
Sr1 0.0000 0.0000 0.0000 1
Be1 0.0000 0.6632 0.0000 1
Be2 0.0000 0.6675 0.5000 1
Cd1 0.0000 0.3364 0.5000 1
```

Compound: SrBe2Cd
Source: Alexandria via LeMat-Bulk
Functional: PBE-GGA
Structure: optimized geometry

Magnetic moment in μB/f.u.: 0.00
ΔE_f in meV/atom: 298

Geometry as CIF:
```
data_SrBe2Cd
_cell_length_a 4.2985
_cell_length_b 4.3812
_cell_length_c 5.0417
_cell_angle_alpha 90.00
_cell_angle_beta 90.00
_cell_angle_gamma 90.00
_space_group_name_H-M_alt 'P m m m'
_space_group_IT_number 47
_space_group_name_Hall '-P 2 2'
loop_
_atom_site_label
_atom_site_fract_x
_atom_site_fract_y
_atom_site_fract_z
_atom_site_occupancy
Sr1 0.0000 0.0000 0.0000 1
Be1 0.2498 0.5000 0.5000 1
Cd1 0.5000 0.0000 0.5000 1
```

Compound: SrBe2Cd
Source: Alexandria via LeMat-Bulk
Functional: PBE-GGA
Structure: optimized geometry

Magnetic moment in μB/f.u.: 0.00
ΔE_f in meV/atom: 386

Geometry as CIF:
```
data_SrBe2Cd
_cell_length_a 4.1198
_cell_length_b 5.3853
_cell_length_c 7.7730
_cell_angle_alpha 90.00
_cell_angle_beta 90.00
_cell_angle_gamma 90.00
_space_group_name_H-M_alt 'I m m 2'
_space_group_IT_number 44
_space_group_name_Hall 'I 2 -2'
loop_
_atom_site_label
_atom_site_fract_x
_atom_site_fract_y
_atom_site_fract_z
_atom_site_occupancy
Sr1 0.0000 0.0000 0.0000 1
Be1 0.0000 0.0000 0.6065 1
Be2 0.0000 0.5000 0.1648 1
Cd1 0.0000 0.5000 0.8179 1
```

Compound: Sr2Be2Cd
Source: Alexandria via LeMat-Bulk
Functional: PBE-GGA
Structure: optimized geometry

Magnetic moment in μB/f.u.: 0.00
ΔE_f in meV/atom: 291
E above lowest polymorph in eV/atom: 0.0222

Geometry as CIF:
```
data_Sr2Be2Cd
_cell_length_a 6.0179
_cell_length_b 6.0179
_cell_length_c 7.2585
_cell_angle_alpha 90.00
_cell_angle_beta 90.00
_cell_angle_gamma 90.00
_space_group_name_H-M_alt 'I 4/m m m'
_space_group_IT_number 139
_space_group_name_Hall '-I 4 2'
loop_
_atom_site_label
_atom_site_fract_x
_atom_site_fract_y
_atom_site_fract_z
_atom_site_occupancy
Sr1 0.0000 0.5000 0.2500 1
Be1 0.0000 0.0000 0.1381 1
Cd1 0.0000 0.0000 0.5000 1
```

Compound: SrBeCd3
Source: Alexandria via LeMat-Bulk
Functional: PBE-GGA
Structure: optimized geometry

Magnetic moment in μB/f.u.: 0.00
ΔE_f in meV/atom: -25
E above lowest polymorph in eV/atom: 0.0000

Geometry as CIF:
```
data_SrBeCd3
_cell_length_a 4.9158
_cell_length_b 4.9158
_cell_length_c 4.9158
_cell_angle_alpha 90.00
_cell_angle_beta 90.00
_cell_angle_gamma 90.00
_space_group_name_H-M_alt 'P m -3 m'
_space_group_IT_number 221
_space_group_name_Hall '-P 4 2 3'
loop_
_atom_site_label
_atom_site_fract_x
_atom_site_fract_y
_atom_site_fract_z
_atom_site_occupancy
Sr1 0.0000 0.0000 0.0000 1
Be1 0.5000 0.5000 0.5000 1
Cd1 0.0000 0.5000 0.5000 1
```

Compound: SrBe2Cd
Source: Alexandria via LeMat-Bulk
Functional: PBE-GGA
Structure: optimized geometry

Magnetic moment in μB/f.u.: 0.00
ΔE_f in meV/atom: 159

Geometry as CIF:
```
data_SrBe2Cd
_cell_length_a 7.3139
_cell_length_b 4.2192
_cell_length_c 6.0521
_cell_angle_alpha 90.00
_cell_angle_beta 113.83
_cell_angle_gamma 90.00
_space_group_name_H-M_alt 'C 1 2/m 1'
_space_group_IT_number 12
_space_group_name_Hall '-C 2y'
loop_
_atom_site_label
_atom_site_fract_x
_atom_site_fract_y
_atom_site_fract_z
_atom_site_occupancy
Sr1 0.0000 0.0000 0.0000 1
Be1 0.1843 0.0000 0.5521 1
Cd1 0.0000 0.5000 0.5000 1
```